No. 1
Density functional theory data (GGA-PBE) for an optimized crystal structure of TaInCu2.

The value obtained for the formation energy is 246 meV/atom. As for the total energy: -21.8 eV per formula unit. The symmetry is Imm2, No. 44. For the volume, the calculation gives 16.02 A^3/atom. The total magnetic moment is 0.000 μB per formula unit.

Lattice parameters (Å, degrees): 5.496 5.496 5.496 149.75 129.43 60.07
Element x y z (fractional)
In 0.515 0.515 0.000
Cu 0.762 0.262 0.500
Ta 0.240 0.740 0.500
Cu 0.983 0.983 0.000

***

No. 2
Density functional theory data (GGA-PBE) for an optimized crystal structure of HoZn12Co4.

The value obtained for the formation energy is 295 meV/atom. As for the total energy: -43.3 eV per formula unit. The symmetry is Im-3, No. 204. For the volume, the calculation gives 17.28 A^3/atom. The total magnetic moment is 0.000 μB per formula unit.

Lattice parameters (Å, degrees): 7.253 7.253 7.253 109.47 109.47 109.47
Element x y z (fractional)
Zn 0.655 0.820 0.165
Zn 0.165 0.345 0.511
Co 0.500 0.000 0.000
Co 0.000 0.500 0.000
Zn 0.820 0.165 0.655
Zn 0.489 0.835 0.655
Zn 0.345 0.180 0.835
Zn 0.165 0.655 0.820
Zn 0.835 0.345 0.180
Zn 0.835 0.655 0.489
Zn 0.180 0.835 0.345
Ho 0.000 0.000 0.000
Zn 0.345 0.511 0.165
Zn 0.511 0.165 0.345
Co 0.000 0.000 0.500
Zn 0.655 0.489 0.835
Co 0.500 0.500 0.500

***

No. 3
Density functional theory data (GGA-PBE) for an optimized crystal structure of Y2Er2Sn7.

The value obtained for the formation energy is -326 meV/atom. As for the total energy: -53.7 eV per formula unit. The symmetry is C2/m, No. 12. For the volume, the calculation gives 29.96 A^3/atom. The total magnetic moment is 0.843 μB per formula unit.

Lattice parameters (Å, degrees): 7.349 6.934 7.349 72.07 107.84 107.93
Element x y z (fractional)
Y 0.785 0.500 0.785
Sn 0.539 0.228 0.461
Sn 0.440 0.278 0.036
Er 0.744 0.005 0.256
Sn 0.461 0.772 0.539
Sn 0.560 0.722 0.964
Sn 0.000 0.000 0.000
Sn 0.964 0.278 0.560
Y 0.215 0.500 0.215
Er 0.256 0.995 0.744
Sn 0.036 0.722 0.440

***

No. 4
Density functional theory data (GGA-PBE) for an optimized crystal structure of NaTl2Cd2Bi2.

The value obtained for the formation energy is -54 meV/atom. As for the total energy: -16.0 eV per formula unit. The symmetry is R-3m, No. 166. For the volume, the calculation gives 30.01 A^3/atom. The total magnetic moment is 0.000 μB per formula unit.

Lattice parameters (Å, degrees): 5.271 5.271 9.248 73.44 73.44 60.00
Element x y z (fractional)
Tl 0.864 0.864 0.409
Cd 0.591 0.591 0.228
Cd 0.409 0.409 0.772
Bi 0.719 0.719 0.842
Na 0.000 0.000 0.000
Bi 0.281 0.281 0.158
Tl 0.136 0.136 0.591